Entry 1:
AgIr2W: optimized geometry, GGA-PBE.

Computed properties:
- E_form: 0.98 eV/f.u.
- Fermi-level density of states: 1.13 states/eV per atom
- Relative energy among the computed polymorphs: 0.970 eV per formula unit

Cell lengths 4.811, 4.811, 2.805 Å; angles 90.00, 90.00, 107.47 degrees
Positions (direct):
Ag 0.000 0.000 0.000
Ir 0.000 0.500 0.500
Ir 0.500 0.000 0.500
W 0.500 0.500 0.000

Entry 2:
ScReAgRh2: optimized geometry, GGA-PBE.

Computed properties:
- E_form: 3.84 eV/f.u.
- Fermi-level density of states: 0.60 states/eV per atom

Cell lengths 4.708, 4.708, 4.943 Å; angles 90.00, 90.00, 90.00 degrees
Positions (direct):
Sc 0.000 0.000 0.000
Re 0.000 0.000 0.500
Ag 0.500 0.500 0.000
Rh 0.000 0.500 0.500
Rh 0.500 0.000 0.500

Entry 3:
ScGeI2N: optimized geometry, GGA-PBE.

Computed properties:
- Fermi-level density of states: 0.66 states/eV per atom
- Relative energy among the computed polymorphs: 1.413 eV per formula unit
- Energy relative to the elements, uncorrected: 344 meV/atom

Cell lengths 5.966, 5.966, 3.616 Å; angles 90.00, 90.00, 90.00 degrees
Positions (direct):
Sc 0.000 0.000 0.000
Ge 0.500 0.500 0.500
I 0.000 0.500 0.500
I 0.500 0.000 0.500
N 0.500 0.500 0.000

Number 1: uncorrected energy -32.545 eV/cell. Number 2: uncorrected energy -32.497 eV/cell. Number 3: uncorrected energy -20.655 eV/cell.